1.
NaReN2 | PBE | optimized geometry

a = 2.963 Å, b = 2.963 Å, c = 6.160 Å
α = 76.08°, β = 76.08°, γ = 60.00°
Positions (direct):
N 0.068 0.068 0.796
N 0.267 0.267 0.200
Na 0.498 0.498 0.507
Re 0.668 0.668 0.997

Summary:
**ΔE_f (raw)**: -1.98 kJ/mol of atoms
**Fermi-level density of states**: 1.65 states/eV/f.u.
**Uncorrected energy**: -30.500 eV per formula unit
**Offset from the most stable computed form**: 102 meV per atom

2.
Na5ReN4 | PBE | optimized geometry

a = 5.667 Å, b = 7.669 Å, c = 7.321 Å
α = 90.00°, β = 90.00°, γ = 90.00°
Positions (direct):
Na 0.739 0.190 0.236
Na 0.261 0.310 0.736
Na 0.739 0.190 0.764
Na 0.825 0.500 0.000
Na 0.261 0.310 0.264
Na 0.261 0.690 0.264
Na 0.739 0.810 0.236
Na 0.261 0.690 0.736
Na 0.175 0.000 0.500
Na 0.739 0.810 0.764
N 0.035 0.799 0.000
N 0.601 0.500 0.710
N 0.035 0.201 0.000
N 0.965 0.299 0.500
N 0.965 0.701 0.500
N 0.601 0.500 0.290
N 0.399 0.000 0.210
N 0.399 0.000 0.790
Re 0.216 0.000 0.000
Re 0.784 0.500 0.500

Summary:
**ΔE_f (raw)**: -28.33 kJ/mol of atoms
**Fermi-level density of states**: 0.00 states/eV/f.u.
**Uncorrected energy**: -55.281 eV per formula unit

Let's list ρ in order: 8.752, 3.728 g/cm3.